# MoWCl2 (PBE, relaxed)
data_MoWCl2
_symmetry_space_group_name_H-M 'P 4 m m'
_symmetry_Int_Tables_number 99
_symmetry_space_group_name_Hall 'P 4 -2'
_cell_length_a 2.9533
_cell_length_b 2.9533
_cell_length_c 8.7776
_cell_angle_alpha 90.00
_cell_angle_beta 90.00
_cell_angle_gamma 90.00
loop_
_atom_site_label
_atom_site_fract_x
_atom_site_fract_y
_atom_site_fract_z
Mo1 0.0000 0.0000 0.0000
W1 0.5000 0.5000 0.2130
Cl1 0.0000 0.0000 0.4014
Cl2 0.5000 0.5000 0.8146
# Polymorph energy (0 for the lowest one)   0.253 eV per atom
# E_form (uncorrected)   -0.0005 eV per atom
# Electronic total energy   -27.48 eV/f.u.
# Crystal system   tetragonal